No. 1
CdAgAsPd after structural relaxation. Source: the Alexandria database, functional GGA-PBE.

Output
- Space-group type: No. 216
- Size of the total moment: 0.000 μB/atom
- N(E_F): 0.732 states/eV per atom

a b c (Å): 4.6829 4.6829 4.6829
angles (deg): 60.00 60.00 60.00
Closest atoms and distances in Å follow each position.
Fractional coordinates of all 4 atoms:
Cd1 0.0000 0.0000 0.0000  4 Ag 2.87, 4 Pd 2.87
Ag1 0.7500 0.7500 0.7500  4 As 2.87, 4 Cd 2.87
As1 0.5000 0.5000 0.5000  4 Pd 2.87, 4 Ag 2.87
Pd1 0.2500 0.2500 0.2500  4 As 2.87, 4 Cd 2.87

No. 2
CdAgAsRh2 after structural relaxation. Source: the Alexandria database, functional GGA-PBE.

Output
- Space-group type: No. 123
- Size of the total moment: 0.310 μB/atom
- N(E_F): 1.788 states/eV per atom

a b c (Å): 4.9848 4.9848 4.8592
angles (deg): 90.00 90.00 90.00
Closest atoms and distances in Å follow each position.
Fractional coordinates of all 5 atoms:
Cd1 0.0000 0.0000 0.0000  2 As 2.43, 4 Rh 2.49
Ag1 0.5000 0.5000 0.5000  8 Rh 3.48, 4 As 3.52
As1 0.0000 0.0000 0.5000  2 Cd 2.43
Rh1 0.0000 0.5000 0.0000  2 Cd 2.49
Rh2 0.5000 0.0000 0.0000  2 Cd 2.49

What ΔH_f (0 K) values result from the calculations? In sequence: -0.380 32.235 kcal/mol of atoms.